Compound: CoNiOs2
Source: Alexandria
Functional: PBE
Structure: optimized geometry

Computed properties:
final energy	-8.354	eV/atom
polymorph energy (0 for the lowest one)	8.23	kcal/mol of atoms
SG	No. 35
E_form	0.48	eV per atom

abc: 2.624 2.624 8.721
angles: 90.00 90.00 117.48
Site moments in Bohr magnetons follow the coordinates.
Positions (direct):
Co 0.000 0.000 0.508  1.72
Ni 0.500 0.500 0.741  0.38
Os 0.000 0.000 0.991  0.04
Os 0.500 0.500 0.260  0.32